ZrSiW2: optimized geometry, PBE-GGA.

Cell lengths 9.568, 9.568, 9.568 Å; angles 17.32, 17.32, 17.32 degrees
Fractional positions:
Si1 0.750 0.750 0.750
W1 0.010 0.010 0.010
W2 0.490 0.490 0.490
Zr1 0.250 0.250 0.250

DFT total energy (eV/atom): -9.64
Theoretical density (g/cm3): 11.932